Record 1
Density functional theory data (PBE) for a geometry-optimized CsCd2S2 structure.

a b c (Å): 4.6478 4.6478 7.9219
angles (deg): 72.94 72.94 90.00
Last column: nearest neighbours and their distance in Å.
Fractional positions:
Cd (0.7500, 0.2500, 0.5000)  4 S 2.72
Cd (0.2500, 0.7500, 0.5000)  4 S 2.72
S (0.3484, 0.3484, 0.3032)  4 Cd 2.72
S (0.6516, 0.6516, 0.6968)  4 Cd 2.72
Cs (0.0000, 0.0000, 0.0000)  8 S 3.95, 8 Cd 4.29

Properties
The calculation puts the density of states at the Fermi level at 3.0 states/eV per cell. As for the crystal system: tetragonal. The value obtained for the total magnetization is 0.0 μB per cell. The uncorrected energy is -2.727 eV/atom. For the theoretical density, the calculation gives 4.50 g/cm³. The calculation puts the energy above the most stable polymorph in this dataset at 0.000 eV/atom. The value obtained for the formation energy without anion corrections is -0.540 eV per atom.


Record 2
Density functional theory data (PBE) for a geometry-optimized Ca2Rh2W structure.

a b c (Å): 6.5813 6.5813 4.8179
angles (deg): 90.00 90.00 90.00
Last column: nearest neighbours and their distance in Å.
Fractional positions:
Rh (0.1407, 0.3593, 0.0000)  2 W 2.54, 1 Rh 2.62
Rh (0.6407, 0.1407, 0.0000)  2 W 2.54, 1 Rh 2.62
Rh (0.8593, 0.6407, 0.0000)  2 W 2.54, 1 Rh 2.62
Rh (0.3593, 0.8593, 0.0000)  2 W 2.54, 1 Rh 2.62
W (0.0000, 0.0000, 0.0000)  4 Rh 2.54
W (0.5000, 0.5000, 0.0000)  4 Rh 2.54
Ca (0.1779, 0.6779, 0.5000)  6 Rh 2.94-3.20
Ca (0.6779, 0.8221, 0.5000)  6 Rh 2.94-3.20
Ca (0.8221, 0.3221, 0.5000)  6 Rh 2.94-3.20
Ca (0.3221, 0.1779, 0.5000)  6 Rh 2.94-3.20

Properties
The calculation puts the density of states at the Fermi level at 7.3 states/eV per cell. As for the crystal system: tetragonal. The value obtained for the total magnetization is 0.0 μB per cell. The uncorrected energy is -6.375 eV/atom. For the theoretical density, the calculation gives 7.48 g/cm³. The formation energy comes out at -0.0430 eV/atom.


Record 3
Density functional theory data (PBE) for a geometry-optimized LiYNb2Pb structure.

a b c (Å): 5.0178 5.8253 5.0178
angles (deg): 90.00 90.00 90.00
Last column: nearest neighbours and their distance in Å.
Fractional positions:
Nb (0.5000, 0.0000, 0.0000)  2 Y 2.51
Nb (0.0000, 0.0000, 0.5000)  2 Y 2.51
Y (0.0000, 0.0000, 0.0000)  4 Nb 2.51
Pb (0.0000, 0.5000, 0.0000)  2 Y 2.91
Li (0.5000, 0.5000, 0.5000)  4 Pb 3.55, 8 Nb 3.84

Properties
The calculation puts the density of states at the Fermi level at 6.1 states/eV per cell. As for the crystal system: tetragonal. The value obtained for the total magnetization is 0.0 μB per cell. The uncorrected energy is -4.876 eV/atom. For the theoretical density, the calculation gives 5.53 g/cm³. The formation energy comes out at 1.5690 eV/atom.


Record 4
Density functional theory data (PBE) for a geometry-optimized CsSmRe2O8 structure.

a b c (Å): 6.1312 6.1312 8.5162
angles (deg): 90.00 90.00 120.00
Last column: nearest neighbours and their distance in Å.
Fractional positions:
O (0.3466, 0.1743, 0.3343)  1 Re 1.81
O (0.3333, 0.6667, 0.9459)  1 Re 1.77
O (0.1743, 0.8277, 0.6657)  1 Re 1.81
O (0.6667, 0.3333, 0.0541)  1 Re 1.77
O (0.8277, 0.6534, 0.3343)  1 Re 1.81
O (0.8257, 0.1723, 0.3343)  1 Re 1.81
O (0.6534, 0.8257, 0.6657)  1 Re 1.81
O (0.1723, 0.3466, 0.6657)  1 Re 1.81
Sm (0.0000, 0.0000, 0.5000)  6 O 2.32
Re (0.3333, 0.6667, 0.7385)  4 O 1.77-1.81
Re (0.6667, 0.3333, 0.2615)  4 O 1.77-1.81
Cs (0.0000, 0.0000, 0.0000)  12 O 3.39-3.57

Properties
The calculation puts the density of states at the Fermi level at 6.2 states/eV per cell. As for the crystal system: trigonal. The value obtained for the total magnetization is 2.0 μB per cell. The uncorrected energy is -7.849 eV/atom. For the theoretical density, the calculation gives 4.69 g/cm³. The value obtained for the formation energy without anion corrections is -2.004 eV per atom.


Record 5
Density functional theory data (PBE) for a geometry-optimized TmThMo4 structure.

a b c (Å): 5.5482 5.5482 5.5482
angles (deg): 60.00 60.00 60.00
Last column: nearest neighbours and their distance in Å.
Fractional positions:
Mo (0.6248, 0.6248, 0.6248)  6 Mo 2.77-2.78
Mo (0.1255, 0.6248, 0.6248)  6 Mo 2.77-2.78
Mo (0.6248, 0.1255, 0.6248)  6 Mo 2.77-2.78
Mo (0.6248, 0.6248, 0.1255)  6 Mo 2.77-2.78
Tm (0.0000, 0.0000, 0.0000)  12 Mo 3.25, 4 Th 3.40
Th (0.2500, 0.2500, 0.2500)  12 Mo 3.25, 4 Tm 3.40

Properties
The calculation puts the density of states at the Fermi level at 5.1 states/eV per cell. As for the crystal system: cubic. The value obtained for the total magnetization is 0.0 μB per cell. The uncorrected energy is -9.140 eV/atom. For the theoretical density, the calculation gives 10.79 g/cm³. The formation energy comes out at 0.0627 eV/atom.


Record 6
Density functional theory data (PBE) for a geometry-optimized ZrTcSe2N structure.

a b c (Å): 4.4823 4.2240 4.4823
angles (deg): 90.00 90.00 90.00
Last column: nearest neighbours and their distance in Å.
Fractional positions:
Tc (0.5000, 0.5000, 0.5000)  8 Se 3.08, 4 Zr 3.17
Se (0.0000, 0.0000, 0.5000)  2 N 2.24
Se (0.5000, 0.0000, 0.0000)  2 N 2.24
Zr (0.0000, 0.5000, 0.0000)  2 N 2.11
N (0.0000, 0.0000, 0.0000)  2 Zr 2.11, 4 Se 2.24

Properties
The calculation puts the density of states at the Fermi level at 3.5 states/eV per cell. As for the crystal system: tetragonal. The value obtained for the total magnetization is 1.7 μB per cell. The uncorrected energy is -6.363 eV/atom. For the theoretical density, the calculation gives 7.07 g/cm³. The calculation puts the energy above the most stable polymorph in this dataset at 0.471 eV/atom. The value obtained for the formation energy without anion corrections is 0.479 eV per atom.


Record 7
Density functional theory data (PBE) for a geometry-optimized Zr2CdRh structure.

a b c (Å): 4.7740 4.7740 4.7740
angles (deg): 60.00 60.00 60.00
Last column: nearest neighbours and their distance in Å.
Fractional positions:
Zr (0.2500, 0.2500, 0.2500)  4 Cd 2.92, 4 Zr 2.92
Zr (0.0000, 0.0000, 0.0000)  4 Zr 2.92, 4 Rh 2.92
Rh (0.7500, 0.7500, 0.7500)  4 Cd 2.92, 4 Zr 2.92
Cd (0.5000, 0.5000, 0.5000)  4 Rh 2.92, 4 Zr 2.92

Properties
The calculation puts the density of states at the Fermi level at 3.7 states/eV per cell. As for the crystal system: cubic. The value obtained for the total magnetization is 1.1 μB per cell. The uncorrected energy is -6.509 eV/atom. For the theoretical density, the calculation gives 8.58 g/cm³. The formation energy comes out at -0.1687 eV/atom.


Record 8
Density functional theory data (PBE) for a geometry-optimized Pm8Al2Au structure.

a b c (Å): 5.3218 7.1988 9.4986
angles (deg): 112.27 106.27 90.00
Last column: nearest neighbours and their distance in Å.
Fractional positions:
Au (0.5000, 0.0000, 0.0000)  8 Pm 3.00-3.25
Pm (0.0000, 0.2600, 0.0000)  2 Au 3.25, 5 Pm 3.46-3.52, 2 Al 3.56
Pm (0.6376, 0.8709, 0.2753)  1 Au 3.00, 2 Al 3.25, 2 Pm 3.26-3.36
Pm (0.3624, 0.1291, 0.7247)  1 Au 3.00, 2 Al 3.25, 2 Pm 3.26-3.36
Pm (0.6377, 0.4043, 0.2753)  1 Au 3.00, 2 Al 3.25, 2 Pm 3.26-3.36
Pm (0.1955, 0.1954, 0.3909)  6 Pm 3.26-3.42, 4 Al 3.32-3.60
Pm (0.0000, 0.7400, 0.0000)  2 Au 3.25, 5 Pm 3.46-3.52, 2 Al 3.56
Pm (0.3623, 0.5957, 0.7247)  1 Au 3.00, 2 Al 3.25, 2 Pm 3.26-3.36
Pm (0.8045, 0.8046, 0.6091)  6 Pm 3.26-3.42, 4 Al 3.32-3.60
Al (0.8140, 0.3139, 0.6279)  12 Pm 3.25-3.60
Al (0.1860, 0.6861, 0.3721)  12 Pm 3.25-3.60

Properties
The calculation puts the density of states at the Fermi level at 13.5 states/eV per cell. As for the crystal system: orthorhombic. The value obtained for the total magnetization is 0.0 μB per cell. The uncorrected energy is -4.641 eV/atom. For the theoretical density, the calculation gives 7.30 g/cm³. The formation energy comes out at -0.2079 eV/atom. The calculation puts the energy above the most stable polymorph in this dataset at 0.045 eV/atom.


Record 9
Density functional theory data (PBE) for a geometry-optimized PIrPb2 structure.

a b c (Å): 7.1548 5.0914 3.3511
angles (deg): 87.50 66.03 124.68
Last column: nearest neighbours and their distance in Å.
Fractional positions:
Pb (0.5000, 0.0000, 0.5000)  4 Ir 2.99-3.11, 4 P 2.99-3.11, 2 Pb 3.28
Pb (0.0000, 0.0000, 0.0000)  4 P 2.99-3.11, 4 Ir 2.99-3.11, 2 Pb 3.28
P (0.5000, 0.5000, 0.0000)  8 Pb 2.99-3.11, 2 Ir 3.28
Ir (0.0000, 0.5000, 0.5000)  8 Pb 2.99-3.11, 2 P 3.28

Properties
The calculation puts the density of states at the Fermi level at 2.3 states/eV per cell. As for the crystal system: monoclinic. The value obtained for the total magnetization is 0.0 μB per cell. The uncorrected energy is -4.855 eV/atom. For the theoretical density, the calculation gives 12.40 g/cm³. The formation energy comes out at 0.5666 eV/atom.


Record 10
Density functional theory data (PBE) for a geometry-optimized Y6As2P3S structure.

a b c (Å): 4.0374 8.0844 9.0249
angles (deg): 102.99 102.93 90.00
Last column: nearest neighbours and their distance in Å.
Fractional positions:
P (0.5000, 0.5000, 0.0000)  6 Y 2.82-2.83
P (0.1659, 0.8342, 0.3317)  6 Y 2.81-2.85
P (0.8341, 0.1658, 0.6683)  6 Y 2.81-2.85
Y (0.9982, 0.2550, 0.9963)  3 P 2.81-2.82, 1 As 2.87, 2 S 2.89
Y (0.6650, 0.5871, 0.3300)  3 P 2.83-2.84, 3 As 2.89-2.90
Y (0.0018, 0.7450, 0.0037)  3 P 2.81-2.82, 1 As 2.87, 2 S 2.89
Y (0.6678, 0.0787, 0.3357)  3 P 2.82-2.85, 1 S 2.87, 2 As 2.88
Y (0.3322, 0.9213, 0.6643)  3 P 2.82-2.85, 1 S 2.87, 2 As 2.88
Y (0.3350, 0.4129, 0.6700)  3 P 2.83-2.84, 3 As 2.89-2.90
As (0.8344, 0.6690, 0.6687)  6 Y 2.87-2.90
As (0.1656, 0.3310, 0.3313)  6 Y 2.87-2.90
S (0.5000, 0.0000, 0.0000)  6 Y 2.87-2.89

Properties
The calculation puts the density of states at the Fermi level at 1.9 states/eV per cell. As for the crystal system: monoclinic. The value obtained for the total magnetization is 0.0 μB per cell. The uncorrected energy is -7.409 eV/atom. For the theoretical density, the calculation gives 4.80 g/cm³. The value obtained for the formation energy without anion corrections is -1.706 eV per atom.


Record 11
Density functional theory data (PBE) for a geometry-optimized RbY2SiHg structure.

a b c (Å): 5.7851 5.1904 5.7851
angles (deg): 90.00 90.00 90.00
Last column: nearest neighbours and their distance in Å.
Fractional positions:
Rb (0.5000, 0.5000, 0.5000)  8 Y 3.89, 4 Si 4.09
Y (0.5000, 0.0000, 0.0000)  2 Hg 2.89
Y (0.0000, 0.0000, 0.5000)  2 Hg 2.89
Hg (0.0000, 0.0000, 0.0000)  2 Si 2.60, 4 Y 2.89
Si (0.0000, 0.5000, 0.0000)  2 Hg 2.60

Properties
The calculation puts the density of states at the Fermi level at 5.7 states/eV per cell. As for the crystal system: tetragonal. The value obtained for the total magnetization is 0.0 μB per cell. The uncorrected energy is -3.405 eV/atom. For the theoretical density, the calculation gives 4.70 g/cm³. The value obtained for the formation energy without anion corrections is 0.519 eV per atom.


Record 12
Density functional theory data (PBE) for a geometry-optimized LiDy3Sc3S8 structure.

a b c (Å): 7.5344 7.5345 7.5667
angles (deg): 119.86 90.00 120.00
Last column: nearest neighbours and their distance in Å.
Fractional positions:
Dy (0.5000, 0.5000, 0.0000)  6 S 2.73
Dy (0.0000, 0.5000, 0.0000)  6 S 2.73
Dy (0.0000, 0.0000, 0.0000)  6 S 2.73
Sc (0.5000, 0.5000, 0.5000)  6 S 2.61-2.62
Sc (0.5000, 0.0000, 0.5000)  6 S 2.61-2.62
Sc (0.0000, 0.5000, 0.5000)  6 S 2.61-2.62
S (0.7527, 0.0105, 0.2633)  2 Sc 2.61, 1 Li 2.64, 2 Dy 2.73
S (0.2473, 0.9895, 0.7367)  2 Sc 2.61, 1 Li 2.64, 2 Dy 2.73
S (0.2578, 0.0106, 0.2633)  2 Sc 2.61, 1 Li 2.64, 2 Dy 2.73
S (0.7422, 0.9894, 0.7367)  2 Sc 2.61, 1 Li 2.64, 2 Dy 2.73
S (0.2472, 0.4944, 0.7367)  2 Sc 2.61, 1 Li 2.64, 2 Dy 2.73
S (0.7528, 0.5056, 0.2633)  2 Sc 2.61, 1 Li 2.64, 2 Dy 2.73
S (0.7449, 0.4899, 0.7348)  3 Sc 2.62, 3 Dy 2.73
S (0.2551, 0.5101, 0.2652)  3 Sc 2.62, 3 Dy 2.73
Li (0.0000, 0.0000, 0.5000)  6 S 2.64

Properties
The calculation puts the density of states at the Fermi level at 4.3 states/eV per cell. As for the crystal system: trigonal. The value obtained for the total magnetization is 0.0 μB per cell. The uncorrected energy is -6.443 eV/atom. For the theoretical density, the calculation gives 4.83 g/cm³. The value obtained for the formation energy without anion corrections is -1.928 eV per atom.